Mg6FeSnO8 GGA+U optimized geometry; total magnetic moment = 4.0 μB/f.u.; total DFT energy (no corrections) = -5.835 eV/atom; symmetry = P4/mmm (123)
1.0
4.469 0.000 0.000
0.000 4.469 0.000
0.000 0.000 8.784
Mg Fe Sn O
6 1 1 8
Direct
0.000 0.000 0.000
0.000 0.500 0.239
0.000 0.500 0.761
0.500 0.000 0.239
0.500 0.000 0.761
0.500 0.500 0.000
0.000 0.000 0.500
0.500 0.500 0.500
0.000 0.000 0.247
0.000 0.000 0.753
0.000 0.500 0.000
0.000 0.500 0.500
0.500 0.000 0.000
0.500 0.000 0.500
0.500 0.500 0.226
0.500 0.500 0.774